[1]
LiMn4S5 after structural relaxation. Source: the Alexandria database, functional PBE-GGA.

Cell lengths 6.905, 6.905, 6.905 Å; angles 100.61, 100.61, 129.18 degrees
Fractional coordinates of all 10 atoms:
Li  0.000  0.000  0.000
Mn  0.369  0.501  0.659
Mn  0.501  0.842  0.131
Mn  0.711  0.369  0.869
Mn  0.842  0.711  0.341
S  0.121  0.742  0.170
S  0.418  0.418  0.000
S  0.572  0.951  0.830
S  0.742  0.572  0.622
S  0.951  0.121  0.378

Computed properties:
Crystal system   tetragonal
Formation energy (no corrections)   -0.50 eV per atom

=====

[2]
PmNd6Er6 after structural relaxation. Source: the Alexandria database, functional PBE-GGA.

Cell lengths 6.619, 11.155, 6.667 Å; angles 90.00, 115.32, 90.00 degrees
Fractional coordinates of all 13 atoms:
Pm  0.000  0.000  0.000
Nd  0.000  0.329  0.000
Nd  0.000  0.671  0.000
Nd  0.273  0.500  0.742
Nd  0.334  0.000  0.616
Nd  0.666  0.000  0.384
Nd  0.727  0.500  0.258
Er  0.000  0.233  0.500
Er  0.000  0.767  0.500
Er  0.500  0.217  0.000
Er  0.500  0.301  0.500
Er  0.500  0.699  0.500
Er  0.500  0.783  0.000

Computed properties:
Crystal system   monoclinic
Energy of formation from the pure elements   209 meV/atom

=====

[3]
BaLi4Eu after structural relaxation. Source: the Alexandria database, functional PBE-GGA.

Cell lengths 6.459, 6.459, 6.459 Å; angles 60.00, 60.00, 60.00 degrees
Fractional coordinates of all 6 atoms:
Ba  0.000  0.000  0.000
Li  0.130  0.623  0.623
Li  0.623  0.130  0.623
Li  0.623  0.623  0.130
Li  0.623  0.623  0.623
Eu  0.250  0.250  0.250

Computed properties:
Crystal system   cubic
Energy of formation from the pure elements   38 meV/atom

=====

[4]
YRuSe2Br after structural relaxation. Source: the Alexandria database, functional PBE-GGA.

Cell lengths 5.473, 5.473, 5.408 Å; angles 90.00, 90.00, 90.00 degrees
Fractional coordinates of all 5 atoms:
Y  0.000  0.000  0.000
Ru  0.500  0.500  0.500
Se  0.000  0.500  0.000
Se  0.500  0.000  0.000
Br  0.000  0.000  0.500

Computed properties:
Crystal system   tetragonal
Formation energy (no corrections)   0.18 eV per atom

=====

[5]
SiCSe2N after structural relaxation. Source: the Alexandria database, functional PBE-GGA.

Cell lengths 5.011, 5.011, 3.232 Å; angles 90.00, 90.00, 90.00 degrees
Fractional coordinates of all 5 atoms:
Si  0.000  0.000  0.000
C  0.500  0.500  0.500
Se  0.000  0.500  0.000
Se  0.500  0.000  0.000
N  0.000  0.000  0.500

Computed properties:
Crystal system   tetragonal
Formation energy (no corrections)   1.51 eV per atom

=====

[6]
NaPt after structural relaxation. Source: the Alexandria database, functional PBE-GGA.

Cell lengths 11.043, 11.043, 2.845 Å; angles 90.00, 90.00, 90.00 degrees
Fractional coordinates of all 16 atoms:
Na  0.000  0.292  0.000
Na  0.000  0.708  0.000
Na  0.275  0.275  0.500
Na  0.275  0.725  0.500
Na  0.292  0.000  0.000
Na  0.708  0.000  0.000
Na  0.725  0.275  0.500
Na  0.725  0.725  0.500
Pt  0.120  0.500  0.500
Pt  0.325  0.500  0.000
Pt  0.500  0.120  0.500
Pt  0.500  0.325  0.000
Pt  0.500  0.675  0.000
Pt  0.500  0.880  0.500
Pt  0.675  0.500  0.000
Pt  0.880  0.500  0.500

Computed properties:
Crystal system   tetragonal
Energy of formation from the pure elements   -54 meV/atom

=====

[7]
RbTaFeGeTe after structural relaxation. Source: the Alexandria database, functional PBE-GGA.

Cell lengths 3.808, 3.872, 9.159 Å; angles 102.07, 91.85, 90.00 degrees
Fractional coordinates of all 5 atoms:
Rb  0.000  0.000  0.000
Ta  0.078  0.699  0.391
Fe  0.540  0.781  0.557
Ge  0.584  0.195  0.384
Te  0.471  0.369  0.735

Computed properties:
Crystal system   triclinic
Formation energy (no corrections)   0.06 eV per atom

=====

[8]
Ca2ScCd after structural relaxation. Source: the Alexandria database, functional PBE-GGA.

Cell lengths 3.656, 3.656, 32.774 Å; angles 90.00, 90.00, 120.00 degrees
Fractional coordinates of all 12 atoms:
Ca  0.000  0.000  0.000
Ca  0.000  0.000  0.233
Ca  0.333  0.667  0.667
Ca  0.333  0.667  0.900
Ca  0.667  0.333  0.333
Ca  0.667  0.333  0.566
Sc  0.000  0.000  0.477
Sc  0.333  0.667  0.144
Sc  0.667  0.333  0.811
Cd  0.000  0.000  0.743
Cd  0.333  0.667  0.410
Cd  0.667  0.333  0.077

Computed properties:
Crystal system   trigonal
Energy of formation from the pure elements   31 meV/atom

=====

[9]
BeNi2Pt after structural relaxation. Source: the Alexandria database, functional PBE-GGA.

Cell lengths 2.628, 3.770, 4.799 Å; angles 90.00, 103.99, 90.00 degrees
Fractional coordinates of all 4 atoms:
Be  0.000  0.000  0.000
Ni  0.382  0.500  0.225
Ni  0.618  0.500  0.775
Pt  0.000  0.000  0.500

Computed properties:
Crystal system   monoclinic
Energy of formation from the pure elements   -203 meV/atom

=====

[10]
Sr2Br after structural relaxation. Source: the Alexandria database, functional PBE-GGA.

Cell lengths 7.966, 7.966, 7.966 Å; angles 90.00, 90.00, 90.00 degrees
Fractional coordinates of all 12 atoms:
Sr  0.250  0.250  0.250
Sr  0.250  0.250  0.750
Sr  0.250  0.750  0.250
Sr  0.250  0.750  0.750
Sr  0.750  0.250  0.250
Sr  0.750  0.250  0.750
Sr  0.750  0.750  0.250
Sr  0.750  0.750  0.750
Br  0.000  0.000  0.000
Br  0.000  0.500  0.500
Br  0.500  0.000  0.500
Br  0.500  0.500  0.000

Computed properties:
Crystal system   cubic
Formation energy (no corrections)   -0.54 eV per atom

=====

[11]
PrRuO4F after structural relaxation. Source: the Alexandria database, functional PBE-GGA.

Cell lengths 6.206, 6.206, 7.132 Å; angles 102.68, 102.68, 74.70 degrees
Fractional coordinates of all 14 atoms:
Pr  0.204  0.204  0.102
Pr  0.796  0.796  0.898
Ru  0.350  0.350  0.713
Ru  0.650  0.650  0.287
O  0.122  0.475  0.857
O  0.254  0.254  0.467
O  0.466  0.466  0.252
O  0.475  0.122  0.857
O  0.525  0.878  0.143
O  0.534  0.534  0.748
O  0.746  0.746  0.533
O  0.878  0.525  0.143
F  0.013  0.013  0.825
F  0.987  0.987  0.175

Computed properties:
Crystal system   monoclinic
Formation energy (no corrections)   -2.00 eV per atom

=====

[12]
AcPr2Nd4Er after structural relaxation. Source: the Alexandria database, functional PBE-GGA.

Cell lengths 5.225, 5.245, 10.503 Å; angles 90.00, 90.00, 90.00 degrees
Fractional coordinates of all 8 atoms:
Ac  0.000  0.000  0.000
Pr  0.000  0.000  0.500
Pr  0.500  0.500  0.000
Nd  0.000  0.500  0.258
Nd  0.000  0.500  0.742
Nd  0.500  0.000  0.258
Nd  0.500  0.000  0.742
Er  0.500  0.500  0.500

Computed properties:
Crystal system   orthorhombic
Energy of formation from the pure elements   21 meV/atom

=====

Values for total energy, eV per atom, ordered as above
-6.420, -4.463, -3.271, -4.695, -4.481, -3.734, -5.751, -2.781, -5.536, -2.219, -7.110, -4.642